[1]
# MgCl3

Crystalline MgCl3 at its relaxed geometry (GGA-PBE, Alexandria via LeMat-Bulk).

Calculated values
**Total DFT energy (no corrections)**: -10.53 eV per cell
**Uncorrected formation energy**: -3.4 eV/f.u.
**Space-group type**: P4/mmm, No. 123

Cell and atoms, written as POSCAR:
```
MgCl3
1.0
-2.848 1.075 -0.816
-1.059 -0.599 2.908
2.839 9.846 3.064
Mg Cl
1 3
Cartesian
0.176 7.623 3.344
1.728 5.994 1.865
2.531 8.776 2.731
-1.244 2.700 1.812
```

***

[2]
# MgCl3

Crystalline MgCl3 at its relaxed geometry (GGA-PBE, Alexandria via LeMat-Bulk).

Calculated values
**Total DFT energy (no corrections)**: -11.58 eV per cell
**Uncorrected formation energy**: -4.4 eV/f.u.
**Space-group type**: R-3m, No. 166

Cell and atoms, written as POSCAR:
```
MgCl3
1.0
11.228 0.119 0.070
10.622 3.640 0.070
10.622 1.827 3.149
Cl Mg
3 1
Cartesian
23.033 3.962 2.333
9.439 1.624 0.956
16.236 2.793 1.644
0.000 0.000 0.000
```

***

[3]
# Mg3Cl

Crystalline Mg3Cl at its relaxed geometry (GGA-PBE, Alexandria via LeMat-Bulk).

Calculated values
**Total DFT energy (no corrections)**: -8.20 eV per cell
**Uncorrected formation energy**: -1.6 eV/f.u.
**Energy relative to the lowest polymorph listed for this composition**: 5.6 kJ per mole of atoms
**Space-group type**: P4/mmm, No. 123

Cell and atoms, written as POSCAR:
```
Mg3Cl
1.0
-0.694 -0.803 3.154
-1.474 -2.798 -1.037
7.103 -3.950 0.557
Mg Cl
3 1
Cartesian
4.256 -4.770 1.477
0.679 -2.781 1.197
3.552 -1.975 0.278
0.000 0.000 0.000
```

***

[4]
# MgCl

Crystalline MgCl at its relaxed geometry (GGA-PBE, Alexandria via LeMat-Bulk).

Calculated values
**Total DFT energy (no corrections)**: -45.82 eV per cell
**Uncorrected formation energy**: -2.3 eV/f.u.
**Space-group type**: P2_12_12_1, No. 19

Cell and atoms, written as POSCAR:
```
MgCl
1.0
6.668 0.000 0.000
0.000 5.670 0.000
0.000 0.000 11.619
Mg Cl
8 8
Cartesian
0.686 3.617 8.660
5.107 1.782 4.579
5.982 0.782 8.768
4.021 4.888 2.959
1.561 4.616 1.230
2.648 2.053 2.851
4.896 3.888 10.388
1.773 1.053 7.040
1.280 1.366 0.993
5.753 4.246 1.119
4.614 1.469 10.626
2.055 4.304 6.802
5.389 4.200 4.817
2.419 4.259 10.499
0.915 1.411 4.690
4.249 1.424 6.929
```

***

[5]
# MgCl3

Crystalline MgCl3 at its relaxed geometry (GGA-PBE, Alexandria via LeMat-Bulk).

Calculated values
**Total DFT energy (no corrections)**: -11.25 eV per cell
**Uncorrected formation energy**: -4.1 eV/f.u.
**Space-group type**: Immm, No. 71

Cell and atoms, written as POSCAR:
```
MgCl3
1.0
-1.404 5.126 -4.597
-6.245 1.483 -2.860
4.165 -0.795 5.603
Cl Mg
3 1
Cartesian
-2.951 2.550 -2.877
-0.873 0.754 -0.851
-0.532 3.818 -1.361
-2.952 1.997 -0.492
```

***

[6]
# MgCl

Crystalline MgCl at its relaxed geometry (GGA-PBE, Alexandria via LeMat-Bulk).

Calculated values
**Total DFT energy (no corrections)**: -11.38 eV per cell
**Uncorrected formation energy**: -2.3 eV/f.u.
**Space-group type**: P1, No. 1

Cell and atoms, written as POSCAR:
```
MgCl
1.0
3.415 0.000 0.036
0.000 5.594 0.025
1.595 2.800 5.723
Cl Mg
2 2
Cartesian
2.086 2.228 2.234
2.056 7.822 5.475
2.062 4.165 3.833
3.777 6.711 3.893
```

***

[7]
# MgCl3

Crystalline MgCl3 at its relaxed geometry (GGA-PBE, Alexandria via LeMat-Bulk).

Calculated values
**Total DFT energy (no corrections)**: -11.07 eV per cell
**Uncorrected formation energy**: -3.9 eV/f.u.
**Space-group type**: P-6m2, No. 187

Cell and atoms, written as POSCAR:
```
MgCl3
1.0
3.474 0.000 0.000
-1.737 3.009 0.000
0.000 0.000 10.974
Mg Cl
1 3
Cartesian
1.737 1.003 8.231
0.000 0.000 9.787
0.000 0.000 6.675
1.737 1.003 2.744
```

***

[8]
# MgCl

Crystalline MgCl at its relaxed geometry (GGA-PBE, Alexandria via LeMat-Bulk).

Calculated values
**Total DFT energy (no corrections)**: -11.59 eV per cell
**Uncorrected formation energy**: -2.4 eV/f.u.
**Space-group type**: P1, No. 1

Cell and atoms, written as POSCAR:
```
MgCl
1.0
3.574 -0.018 -0.002
1.771 3.050 0.003
0.023 1.984 10.567
Cl Mg
2 2
Cartesian
2.009 2.246 2.471
0.233 1.226 5.311
3.795 3.252 3.892
2.031 4.250 9.239
```

***

[9]
# Mg3Cl

Crystalline Mg3Cl at its relaxed geometry (GGA-PBE, Alexandria via LeMat-Bulk).

Calculated values
**Total DFT energy (no corrections)**: -14.49 eV per cell
**Uncorrected formation energy**: -0.6 eV/f.u.
**Energy relative to the lowest polymorph listed for this composition**: 28.7 kJ per mole of atoms
**Space-group type**: Pm-3n, No. 223

Cell and atoms, written as POSCAR:
```
Mg3Cl
1.0
5.812 0.000 0.000
0.000 5.812 0.000
0.000 0.000 5.812
Mg Cl
6 2
Cartesian
4.359 2.906 0.000
0.000 1.453 2.906
2.906 0.000 4.359
0.000 4.359 2.906
2.906 0.000 1.453
1.453 2.906 0.000
2.906 2.906 2.906
0.000 0.000 0.000
```

***

[10]
# MgCl3

Crystalline MgCl3 at its relaxed geometry (GGA-PBE, Alexandria via LeMat-Bulk).

Calculated values
**Total DFT energy (no corrections)**: -9.07 eV per cell
**Uncorrected formation energy**: -1.9 eV/f.u.
**Space-group type**: R-3m, No. 166

Cell and atoms, written as POSCAR:
```
MgCl3
1.0
2.986 0.000 9.052
-1.493 2.586 9.052
-1.493 -2.586 9.052
Cl Mg
3 1
Cartesian
0.000 0.000 24.984
0.000 0.000 13.578
0.000 0.000 2.171
0.000 0.000 0.000
```

***

[11]
# MgCl5

Crystalline MgCl5 at its relaxed geometry (GGA-PBE, Alexandria via LeMat-Bulk).

Calculated values
**Total DFT energy (no corrections)**: -12.95 eV per cell
**Uncorrected formation energy**: -2.1 eV/f.u.
**Energy relative to the lowest polymorph listed for this composition**: 37.8 kJ per mole of atoms
**Space-group type**: P-62m, No. 189

Cell and atoms, written as POSCAR:
```
MgCl5
1.0
3.699 -6.406 0.000
3.699 6.406 0.000
0.000 0.000 3.427
Cl Mg
5 1
Cartesian
2.775 -4.807 0.000
3.699 -2.135 1.713
1.846 0.000 0.000
2.775 4.807 0.000
3.699 2.135 1.713
0.000 0.000 1.713
```

***

[12]
# MgCl

Crystalline MgCl at its relaxed geometry (GGA-PBE, Alexandria via LeMat-Bulk).

Calculated values
**Total DFT energy (no corrections)**: -11.11 eV per cell
**Uncorrected formation energy**: -2.1 eV/f.u.
**Space-group type**: P4/nmm, No. 129

Cell and atoms, written as POSCAR:
```
MgCl
1.0
-1.865 1.293 -2.365
-2.281 -2.289 0.547
-3.915 5.336 6.003
Mg Cl
2 2
Cartesian
-3.544 3.168 3.390
-4.517 1.172 0.795
-6.210 3.479 3.391
-1.851 0.861 0.794
```